A plane-wave DFT calculation with meta-GGA SCAN was carried out for Ta2NbNiIr at its PBEsol-relaxed geometry.

Crystal system = tetragonal
Final energy = -49.9138 eV/atom

```
data_Ta2NbNiIr
_symmetry_space_group_name_H-M 'P 1'
_symmetry_Int_Tables_number 1
_cell_length_a 4.457
_cell_length_b 4.481
_cell_length_c 4.481
_cell_angle_alpha 90.00
_cell_angle_beta 90.00
_cell_angle_gamma 90.00
loop_
_symmetry_equiv_pos_as_xyz
'x,y,z'
loop_
_atom_site_label
_atom_site_fract_x
_atom_site_fract_y
_atom_site_fract_z
Ni1 0.000 0.000 0.000
Nb1 0.500 0.000 0.000
Ir1 0.500 0.500 0.500
Ta1 0.000 0.000 0.500
Ta2 0.000 0.500 0.000
```

=====

A plane-wave DFT calculation with meta-GGA SCAN was carried out for Zr3W at its PBEsol-relaxed geometry.

Crystal system = hexagonal
Offset from the most stable computed form = 0.80 eV/f.u.
Final energy = -40.0477 eV/atom

```
data_Zr3W
_symmetry_space_group_name_H-M 'P 1'
_symmetry_Int_Tables_number 1
_cell_length_a 2.916
_cell_length_b 2.916
_cell_length_c 10.861
_cell_angle_alpha 90.00
_cell_angle_beta 90.00
_cell_angle_gamma 120.00
loop_
_symmetry_equiv_pos_as_xyz
'x,y,z'
loop_
_atom_site_label
_atom_site_fract_x
_atom_site_fract_y
_atom_site_fract_z
W1 0.000 0.000 0.000
Zr1 0.000 0.000 0.500
Zr2 0.667 0.333 0.763
Zr3 0.667 0.333 0.237
```

=====

A plane-wave DFT calculation with meta-GGA SCAN was carried out for BeInS3 at its PBEsol-relaxed geometry.

Crystal system = cubic
Energy relative to the elements, uncorrected = 0.13 eV per atom
Final energy = -13.1997 eV/atom

```
data_BeInS3
_symmetry_space_group_name_H-M 'P 1'
_symmetry_Int_Tables_number 1
_cell_length_a 4.366
_cell_length_b 4.366
_cell_length_c 4.366
_cell_angle_alpha 90.00
_cell_angle_beta 90.00
_cell_angle_gamma 90.00
loop_
_symmetry_equiv_pos_as_xyz
'x,y,z'
loop_
_atom_site_label
_atom_site_fract_x
_atom_site_fract_y
_atom_site_fract_z
Be1 0.000 0.000 0.000
S1 0.000 0.500 0.000
S2 0.000 0.000 0.500
S3 0.500 0.000 0.000
In1 0.500 0.500 0.500
```

=====

A plane-wave DFT calculation with meta-GGA SCAN was carried out for LaSc3Be at its PBEsol-relaxed geometry.

Crystal system = cubic
Final energy = -17.8552 eV/atom

```
data_LaSc3Be
_symmetry_space_group_name_H-M 'P 1'
_symmetry_Int_Tables_number 1
_cell_length_a 4.944
_cell_length_b 4.944
_cell_length_c 4.944
_cell_angle_alpha 90.00
_cell_angle_beta 90.00
_cell_angle_gamma 90.00
loop_
_symmetry_equiv_pos_as_xyz
'x,y,z'
loop_
_atom_site_label
_atom_site_fract_x
_atom_site_fract_y
_atom_site_fract_z
Sc1 0.000 0.500 0.000
Sc2 0.000 0.000 0.500
Sc3 0.500 0.000 0.000
Be1 0.000 0.000 0.000
La1 0.500 0.500 0.500
```

=====

A plane-wave DFT calculation with meta-GGA SCAN was carried out for NaGaBr2 at its PBEsol-relaxed geometry.

Crystal system = cubic
Energy relative to the elements, uncorrected = -0.99 eV per atom
Offset from the most stable computed form = 0.00 eV/f.u.
Final energy = -15.8599 eV/atom

```
data_NaGaBr2
_symmetry_space_group_name_H-M 'P 1'
_symmetry_Int_Tables_number 1
_cell_length_a 5.209
_cell_length_b 5.209
_cell_length_c 5.209
_cell_angle_alpha 60.00
_cell_angle_beta 60.00
_cell_angle_gamma 60.00
loop_
_symmetry_equiv_pos_as_xyz
'x,y,z'
loop_
_atom_site_label
_atom_site_fract_x
_atom_site_fract_y
_atom_site_fract_z
Na1 0.000 0.000 0.000
Ga1 0.500 0.500 0.500
Br1 0.250 0.250 0.250
Br2 0.750 0.750 0.750
```

=====

A plane-wave DFT calculation with meta-GGA SCAN was carried out for Cs3NaBr at its PBEsol-relaxed geometry.

Crystal system = cubic
Energy relative to the elements, uncorrected = -0.77 eV per atom
Final energy = -28.1868 eV/atom

```
data_Cs3NaBr
_symmetry_space_group_name_H-M 'P 1'
_symmetry_Int_Tables_number 1
_cell_length_a 7.026
_cell_length_b 7.026
_cell_length_c 7.026
_cell_angle_alpha 90.00
_cell_angle_beta 90.00
_cell_angle_gamma 90.00
loop_
_symmetry_equiv_pos_as_xyz
'x,y,z'
loop_
_atom_site_label
_atom_site_fract_x
_atom_site_fract_y
_atom_site_fract_z
Cs1 0.000 0.500 0.000
Cs2 0.000 0.000 0.500
Cs3 0.500 0.000 0.000
Na1 0.500 0.500 0.500
Br1 0.000 0.000 0.000
```

=====

A plane-wave DFT calculation with meta-GGA SCAN was carried out for ReTcSe at its PBEsol-relaxed geometry.

Crystal system = cubic
Energy relative to the elements, uncorrected = 0.43 eV per atom
Final energy = -41.6469 eV/atom

```
data_ReTcSe
_symmetry_space_group_name_H-M 'P 1'
_symmetry_Int_Tables_number 1
_cell_length_a 4.171
_cell_length_b 4.171
_cell_length_c 4.171
_cell_angle_alpha 60.00
_cell_angle_beta 60.00
_cell_angle_gamma 60.00
loop_
_symmetry_equiv_pos_as_xyz
'x,y,z'
loop_
_atom_site_label
_atom_site_fract_x
_atom_site_fract_y
_atom_site_fract_z
Re1 0.750 0.750 0.750
Se1 0.000 0.000 0.000
Tc1 0.500 0.500 0.500
```

=====

A plane-wave DFT calculation with meta-GGA SCAN was carried out for Zr3BS at its PBEsol-relaxed geometry.

Crystal system = cubic
Energy relative to the elements, uncorrected = -0.14 eV per atom
Final energy = -21.9747 eV/atom

```
data_Zr3BS
_symmetry_space_group_name_H-M 'P 1'
_symmetry_Int_Tables_number 1
_cell_length_a 4.532
_cell_length_b 4.532
_cell_length_c 4.532
_cell_angle_alpha 90.00
_cell_angle_beta 90.00
_cell_angle_gamma 90.00
loop_
_symmetry_equiv_pos_as_xyz
'x,y,z'
loop_
_atom_site_label
_atom_site_fract_x
_atom_site_fract_y
_atom_site_fract_z
S1 0.500 0.500 0.500
B1 0.000 0.000 0.000
Zr1 0.000 0.500 0.000
Zr2 0.000 0.000 0.500
Zr3 0.500 0.000 0.000
```

=====

A plane-wave DFT calculation with meta-GGA SCAN was carried out for ZrCuAs at its PBEsol-relaxed geometry.

Crystal system = trigonal
Final energy = -22.0418 eV/atom

```
data_ZrCuAs
_symmetry_space_group_name_H-M 'P 1'
_symmetry_Int_Tables_number 1
_cell_length_a 2.994
_cell_length_b 2.994
_cell_length_c 6.588
_cell_angle_alpha 90.00
_cell_angle_beta 90.00
_cell_angle_gamma 120.00
loop_
_symmetry_equiv_pos_as_xyz
'x,y,z'
loop_
_atom_site_label
_atom_site_fract_x
_atom_site_fract_y
_atom_site_fract_z
As1 0.000 0.000 0.984
Cu1 0.333 0.667 0.679
Zr1 0.667 0.333 0.337
```

=====

A plane-wave DFT calculation with meta-GGA SCAN was carried out for Dy2S3O12 at its PBEsol-relaxed geometry.

Crystal system = orthorhombic
Energy relative to the elements, uncorrected = -2.42 eV per atom
Final energy = -14.1375 eV/atom

```
data_Dy2S3O12
_symmetry_space_group_name_H-M 'P 1'
_symmetry_Int_Tables_number 1
_cell_length_a 9.218
_cell_length_b 9.307
_cell_length_c 12.869
_cell_angle_alpha 90.00
_cell_angle_beta 90.00
_cell_angle_gamma 90.00
loop_
_symmetry_equiv_pos_as_xyz
'x,y,z'
loop_
_atom_site_label
_atom_site_fract_x
_atom_site_fract_y
_atom_site_fract_z
Dy1 0.250 0.464 0.117
Dy2 0.750 0.536 0.883
Dy3 0.250 0.964 0.383
Dy4 0.250 0.036 0.883
Dy5 0.750 0.036 0.617
Dy6 0.750 0.964 0.117
Dy7 0.250 0.536 0.617
Dy8 0.750 0.464 0.383
S1 0.533 0.250 0.000
S2 0.467 0.750 0.000
S3 0.967 0.750 0.500
S4 0.033 0.250 0.500
S5 0.109 0.111 0.145
S6 0.891 0.889 0.855
S7 0.391 0.611 0.355
S8 0.109 0.389 0.855
S9 0.609 0.389 0.645
S10 0.891 0.611 0.145
S11 0.391 0.889 0.645
S12 0.609 0.111 0.355
O1 0.166 0.072 0.042
O2 0.834 0.928 0.958
O3 0.334 0.572 0.458
O4 0.166 0.428 0.958
O5 0.666 0.428 0.542
O6 0.834 0.572 0.042
O7 0.334 0.928 0.542
O8 0.666 0.072 0.458
O9 0.175 0.016 0.224
O10 0.825 0.984 0.776
O11 0.325 0.516 0.276
O12 0.175 0.484 0.776
O13 0.675 0.484 0.724
O14 0.825 0.516 0.224
O15 0.325 0.984 0.724
O16 0.675 0.016 0.276
O17 0.126 0.151 0.440
O18 0.874 0.849 0.560
O19 0.374 0.651 0.060
O20 0.126 0.349 0.560
O21 0.626 0.349 0.940
O22 0.874 0.651 0.440
O23 0.374 0.849 0.940
O24 0.626 0.151 0.060
O25 0.142 0.262 0.169
O26 0.858 0.738 0.831
O27 0.358 0.762 0.331
O28 0.142 0.238 0.831
O29 0.642 0.238 0.669
O30 0.858 0.762 0.169
O31 0.358 0.738 0.669
O32 0.642 0.262 0.331
O33 0.441 0.332 0.073
O34 0.559 0.668 0.927
O35 0.059 0.832 0.427
O36 0.441 0.168 0.927
O37 0.941 0.168 0.573
O38 0.559 0.832 0.073
O39 0.059 0.668 0.573
O40 0.941 0.332 0.427
O41 0.450 0.091 0.354
O42 0.550 0.909 0.646
O43 0.050 0.591 0.146
O44 0.450 0.409 0.646
O45 0.950 0.409 0.854
O46 0.550 0.591 0.354
O47 0.050 0.909 0.854
O48 0.950 0.091 0.146
```

=====

A plane-wave DFT calculation with meta-GGA SCAN was carried out for Li2TiCo3O8 at its PBEsol-relaxed geometry.

Crystal system = hexagonal
Energy relative to the elements, uncorrected = -2.03 eV per atom
Final energy = -10.7811 eV/atom

```
data_Li2TiCo3O8
_symmetry_space_group_name_H-M 'P 1'
_symmetry_Int_Tables_number 1
_cell_length_a 5.633
_cell_length_b 5.633
_cell_length_c 9.121
_cell_angle_alpha 90.00
_cell_angle_beta 90.00
_cell_angle_gamma 120.00
loop_
_symmetry_equiv_pos_as_xyz
'x,y,z'
loop_
_atom_site_label
_atom_site_fract_x
_atom_site_fract_y
_atom_site_fract_z
Li1 0.333 0.667 0.893
Li2 0.000 0.000 0.998
Li3 0.000 0.000 0.498
Li4 0.667 0.333 0.393
Ti1 0.333 0.667 0.495
Ti2 0.667 0.333 0.995
Co1 0.660 0.830 0.215
Co2 0.170 0.340 0.215
Co3 0.170 0.830 0.215
Co4 0.830 0.170 0.715
Co5 0.830 0.660 0.715
Co6 0.340 0.170 0.715
O1 0.670 0.835 0.601
O2 0.481 0.519 0.334
O3 0.333 0.667 0.110
O4 0.000 0.000 0.306
O5 0.000 0.000 0.806
O6 0.165 0.330 0.601
O7 0.481 0.962 0.334
O8 0.038 0.519 0.334
O9 0.835 0.165 0.101
O10 0.165 0.835 0.601
O11 0.962 0.481 0.834
O12 0.519 0.038 0.834
O13 0.667 0.333 0.610
O14 0.835 0.670 0.101
O15 0.519 0.481 0.834
O16 0.330 0.165 0.101
```

=====

A plane-wave DFT calculation with meta-GGA SCAN was carried out for Sr6Nb7O21 at its PBEsol-relaxed geometry.

Crystal system = trigonal
Energy relative to the elements, uncorrected = -3.02 eV per atom
Final energy = -17.6226 eV/atom

```
data_Sr6Nb7O21
_symmetry_space_group_name_H-M 'P 1'
_symmetry_Int_Tables_number 1
_cell_length_a 6.977
_cell_length_b 9.008
_cell_length_c 9.008
_cell_angle_alpha 113.58
_cell_angle_beta 104.96
_cell_angle_gamma 104.96
loop_
_symmetry_equiv_pos_as_xyz
'x,y,z'
loop_
_atom_site_label
_atom_site_fract_x
_atom_site_fract_y
_atom_site_fract_z
Sr1 0.141 0.858 0.578
Sr2 0.283 0.719 0.142
Sr3 0.436 0.578 0.719
Sr4 0.564 0.422 0.281
Sr5 0.717 0.281 0.858
Sr6 0.859 0.142 0.422
Nb1 0.644 0.858 0.574
Nb2 0.786 0.716 0.142
Nb3 0.930 0.574 0.716
Nb4 0.070 0.426 0.284
Nb5 0.214 0.284 0.858
Nb6 0.356 0.142 0.426
Nb7 0.500 0.000 0.000
O1 0.633 0.851 0.070
O2 0.562 0.930 0.781
O3 0.775 0.703 0.631
O4 0.707 0.783 0.354
O5 0.924 0.571 0.217
O6 0.072 0.928 0.297
O7 0.857 0.631 0.928
O8 0.076 0.429 0.783
O9 0.219 0.781 0.851
O10 0.000 0.500 0.500
O11 0.353 0.646 0.429
O12 0.225 0.297 0.369
O13 0.143 0.369 0.072
O14 0.500 0.500 0.000
O15 0.367 0.149 0.930
O16 0.293 0.217 0.646
O17 0.500 0.000 0.500
O18 0.647 0.354 0.571
O19 0.438 0.070 0.219
O20 0.781 0.219 0.149
O21 0.928 0.072 0.703
```

=====

Size of the total moment in μB per atom, matching the order above: 0.000; 0.000; 0.000; 0.000; 0.000; 0.099; 0.000; 0.000; 0.000; 0.000; 0.075; 0.000